# EuDyEr2 (PBE-GGA, relaxed)
# DOS at the Fermi energy: 16.6 states/eV per cell
# Magnetization: 23.24 μB/cell
# Density: 8.1 g/cm3
# Energy of formation from the pure elements: 0.17 eV per atom
data_EuDyEr2
_symmetry_space_group_name_H-M 'R -3 m'
_symmetry_Int_Tables_number 166
_symmetry_space_group_name_Hall '-R 3 2"'
_cell_length_a 3.5112
_cell_length_b 3.5112
_cell_length_c 37.3710
_cell_angle_alpha 90.00
_cell_angle_beta 90.00
_cell_angle_gamma 120.00
loop_
_atom_site_label
_atom_site_type_symbol
_atom_site_fract_x
_atom_site_fract_y
_atom_site_fract_z
Eu1 Eu 0.0000 0.0000 0.0000
Dy1 Dy 0.0000 0.0000 0.5000
Er1 Er 0.0000 0.0000 0.0914

# Er3Cu4Sn4 (PBE-GGA, relaxed)
# DOS at the Fermi energy: 4.2 states/eV per cell
# Magnetization: 0.00 μB/cell
# Density: 9.0 g/cm3
# Energy of formation from the pure elements: -0.49 eV per atom
data_Er3Cu4Sn4
_symmetry_space_group_name_H-M 'I m m m'
_symmetry_Int_Tables_number 71
_symmetry_space_group_name_Hall '-I 2 2'
_cell_length_a 4.4498
_cell_length_b 6.9384
_cell_length_c 14.6633
_cell_angle_alpha 90.00
_cell_angle_beta 90.00
_cell_angle_gamma 90.00
loop_
_atom_site_label
_atom_site_type_symbol
_atom_site_fract_x
_atom_site_fract_y
_atom_site_fract_z
Er1 Er 0.0000 0.0000 0.0000
Er2 Er 0.0000 0.5000 0.1309
Cu1 Cu 0.0000 0.3109 0.3289
Sn1 Sn 0.0000 0.0000 0.2160
Sn2 Sn 0.0000 0.2037 0.5000

# Hg2PF2 (PBE-GGA, relaxed)
# DOS at the Fermi energy: 4.3 states/eV per cell
# Magnetization: 0.00 μB/cell
# Density: 9.6 g/cm3
# Formation energy from raw total energies: -0.36 eV/atom
data_Hg2PF2
_symmetry_space_group_name_H-M 'P 4/m b m'
_symmetry_Int_Tables_number 127
_symmetry_space_group_name_Hall '-P 4 2ab'
_cell_length_a 7.5800
_cell_length_b 7.5800
_cell_length_c 2.8451
_cell_angle_alpha 90.00
_cell_angle_beta 90.00
_cell_angle_gamma 90.00
loop_
_atom_site_label
_atom_site_type_symbol
_atom_site_fract_x
_atom_site_fract_y
_atom_site_fract_z
Hg1 Hg 0.1730 0.3270 0.0000
P1 P 0.0000 0.0000 0.5000
F1 F 0.1199 0.6199 0.5000

# TaZnTe2 (PBE-GGA, relaxed)
# DOS at the Fermi energy: 5.3 states/eV per cell
# Magnetization: 0.00 μB/cell
# Density: 8.4 g/cm3
# Formation energy from raw total energies: 0.18 eV/atom
data_TaZnTe2
_symmetry_space_group_name_H-M 'C m m 2'
_symmetry_Int_Tables_number 35
_cell_length_a 3.7138
_cell_length_b 5.2178
_cell_length_c 10.2104
_cell_angle_alpha 90.00
_cell_angle_beta 90.00
_cell_angle_gamma 90.00
loop_
_symmetry_equiv_pos_as_xyz
'x,y,z'
'-x,-y,z'
'-x,y,z'
'x,-y,z'
'x+1/2,y+1/2,z'
'-x+1/2,-y+1/2,z'
'-x+1/2,y+1/2,z'
'x+1/2,-y+1/2,z'
loop_
_atom_site_label
_atom_site_type_symbol
_atom_site_fract_x
_atom_site_fract_y
_atom_site_fract_z
Ta1 Ta 0.0000 0.0000 0.0000
Zn1 Zn 0.0000 0.5000 0.8033
Te1 Te 0.0000 0.0000 0.5936
Te2 Te 0.0000 0.5000 0.2029